Record 1
Here is LiTaSbAs2 after structural relaxation from Alexandria. Energies are from GGA-PBE.

V, Å³ per cell: 96.3
Energy, eV/atom: -4.721

Structure (extended XYZ):
```
5
Lattice="4.382 0.000 0.000 0.000 5.016 0.000 0.000 0.000 4.382" Properties=species:S:1:pos:R:3 pbc="T T T"
Li 0.000 0.000 0.000
Ta 0.000 2.508 0.000
As 2.191 0.000 0.000
As 0.000 0.000 2.191
Sb 2.191 2.508 2.191
```

---

Record 2
Here is Sr2RuW after structural relaxation from Alexandria. Energies are from GGA-PBE.

ΔH_f (0 K), eV/atom: 1.21
E above lowest polymorph, meV/atom: 869
V, Å³ per cell: 88.3

Structure (extended XYZ):
```
4
Lattice="-1.159 5.801 -1.053 -1.703 2.010 -5.400 -1.343 -4.329 3.944" Properties=species:S:1:pos:R:3 pbc="T T T"
W -2.239 0.793 -2.341
Sr 0.000 0.000 0.000
Sr -1.431 3.905 -3.227
Ru -1.967 2.688 -0.168
```